# LiCa2Tm

A relaxed LiCa2Tm crystal (PBE, the Alexandria database).

Results
Formation energy, eV/atom: 0.282
Offset from the most stable computed form, meV per atom: 165
Volume, Å³/cell: 410.5
Crystal system: trigonal
Total energy, eV/atom: -2.315

Cell: 3.560 3.560 37.410 Å, 90.00 90.00 120.00°
Atoms (fractional coordinates):
Li 0.000 0.000 0.000
Li 0.333 0.667 0.667
Li 0.667 0.333 0.333
Ca 0.000 0.000 0.409
Ca 0.000 0.000 0.591
Ca 0.333 0.667 0.076
Ca 0.333 0.667 0.257
Ca 0.667 0.333 0.743
Ca 0.667 0.333 0.924
Tm 0.000 0.000 0.500
Tm 0.333 0.667 0.167
Tm 0.667 0.333 0.833